1.
8
Lattice="-3.224 3.224 2.560 3.224 -3.224 2.560 3.224 3.224 -2.560" Properties=species:S:1:pos:R:3 comment="LiFe2W, relaxed, DFT PBE" dos_at_fermi_per_ev_cell=8.4 sg="I-42d, No. 122" formation_energy_ev_per_atom=0.78 final_energy_ev_per_atom=-7.173 pbc="T T T"
Li 0.000 0.000 0.000
Li 0.000 3.224 1.280
Fe 1.612 -1.594 1.920
Fe 1.631 1.612 0.640
Fe 1.612 4.818 -0.640
Fe 1.594 1.612 3.200
W 3.224 0.000 1.280
W 0.000 0.000 2.560



2.
3
Lattice="-1.682 1.682 5.133 1.682 -1.682 5.133 1.682 1.682 -5.133" Properties=species:S:1:pos:R:3 comment="ScReSb, relaxed, DFT PBE" e_form_raw_mev_per_atom=-54 dos_at_fermi_per_ev_cell=3.1 sg="I4mm, No. 107" final_energy_ev_per_atom=-7.688 pbc="T T T"
Sc 0.000 0.000 0.000
Re 0.000 0.000 3.411
Sb 0.000 0.000 7.175



3.
7
Lattice="7.901 -2.348 0.000 7.901 2.348 0.000 -2.116 0.000 8.304" Properties=species:S:1:pos:R:3 comment="Ba3Se2Br2, relaxed, DFT PBE" e_form_raw_mev_per_atom=-2065 dos_at_fermi_per_ev_cell=0.0 sg="C2/m, No. 12" final_energy_ev_per_atom=-4.363 pbc="T T T"
Ba 0.000 0.000 0.000
Ba 1.946 0.000 6.284
Ba 11.740 0.000 2.020
Se 5.712 0.000 0.780
Se 7.974 0.000 7.524
Br 1.619 0.000 2.939
Br 12.067 0.000 5.365



4.
22
Lattice="6.489 -3.854 0.000 6.489 3.854 0.000 -5.318 0.000 12.540" Properties=species:S:1:pos:R:3 comment="Hg4BiS6, relaxed, DFT PBE" e_form_raw_mev_per_atom=-9 dos_at_fermi_per_ev_cell=5.2 sg="Cc, No. 9" final_energy_ev_per_atom=-2.723 pbc="T T T"
Hg 3.830 3.758 6.270
Hg 3.580 0.130 1.045
Hg 0.921 -0.130 7.315
Hg 1.685 0.120 11.266
Hg 4.344 -0.120 4.996
Hg 8.075 1.454 2.581
Hg 5.416 -1.454 8.851
Hg 6.489 -3.758 0.000
Bi 4.735 2.035 10.291
Bi 7.394 -2.035 4.021
S -2.217 0.658 11.222
S 3.455 2.201 4.365
S 1.289 1.592 9.008
S 0.442 -0.658 4.952
S 6.331 1.596 0.729
S 5.229 2.072 7.792
S 3.948 -1.592 2.738
S 6.932 0.517 4.754
S 0.796 -2.201 10.635
S 3.672 -1.596 6.999
S 4.273 -0.517 11.024
S 7.888 -2.072 1.522



5.
6
Lattice="4.530 -2.599 0.000 4.530 2.599 0.000 -3.088 0.000 4.605" Properties=species:S:1:pos:R:3 comment="Pu2FeRe3, relaxed, DFT PBE" dos_at_fermi_per_ev_cell=18.6 sg="C2/m, No. 12" formation_energy_ev_per_atom=0.05 final_energy_ev_per_atom=-12.358 pbc="T T T"
Pu -0.016 0.000 1.760
Pu 5.987 0.000 2.844
Fe 2.986 0.000 2.302
Re 2.265 1.299 0.000
Re 2.265 -1.299 0.000
Re 4.530 0.000 0.000



6.
8
Lattice="-3.533 3.533 2.650 3.533 -3.533 2.650 3.533 3.533 -2.650" Properties=species:S:1:pos:R:3 comment="V2NiPb, relaxed, DFT PBE" dos_at_fermi_per_ev_cell=8.0 sg="I-42d, No. 122" formation_energy_ev_per_atom=0.57 final_energy_ev_per_atom=-6.366 pbc="T T T"
V 1.766 1.473 -0.663
V 2.059 -1.766 3.313
V 1.766 2.059 1.988
V 1.473 5.299 0.663
Ni 0.000 0.000 0.000
Ni 0.000 3.533 1.325
Pb 3.533 0.000 1.325
Pb 0.000 0.000 2.650



7.
18
Lattice="7.591 0.000 0.000 0.000 4.407 0.000 -0.043 0.000 13.120" Properties=species:S:1:pos:R:3 comment="LiTmBi, relaxed, DFT PBE" dos_at_fermi_per_ev_cell=15.3 sg="P2_1/m, No. 11" formation_energy_ev_per_atom=-0.55 final_energy_ev_per_atom=-3.974 pbc="T T T"
Li 0.062 1.102 1.213
Li 1.167 1.102 5.974
Li 2.687 3.306 10.551
Li 4.861 1.102 2.569
Li 6.380 3.306 7.146
Li 7.485 3.306 11.907
Tm 0.137 1.102 9.264
Tm 2.682 3.306 0.997
Tm 3.606 3.306 5.039
Tm 3.941 1.102 8.080
Tm 4.866 1.102 12.123
Tm 7.410 3.306 3.856
Bi 1.678 1.102 11.987
Bi 1.707 3.306 7.624
Bi 2.066 1.102 3.257
Bi 5.482 3.306 9.862
Bi 5.841 1.102 5.495
Bi 5.869 3.306 1.132



8.
5
Lattice="4.313 0.000 0.000 0.000 4.313 0.000 0.000 0.000 5.248" Properties=species:S:1:pos:R:3 comment="HfTaInB2, relaxed, DFT PBE" dos_at_fermi_per_ev_cell=3.9 sg="P4/mmm, No. 123" formation_energy_ev_per_atom=2.08 final_energy_ev_per_atom=-5.505 pbc="T T T"
Hf 0.000 0.000 0.000
Ta 2.157 2.157 0.000
In 2.157 2.157 2.624
B 0.000 2.157 2.624
B 2.157 0.000 2.624



9.
4
Lattice="3.675 0.000 0.000 0.000 3.867 0.000 0.000 0.000 5.739" Properties=species:S:1:pos:R:3 comment="CoCuTe2, relaxed, DFT PBE" e_form_raw_mev_per_atom=468 dos_at_fermi_per_ev_cell=3.8 sg="Pmmm, No. 47" final_energy_ev_per_atom=-3.903 pbc="T T T"
Co 0.000 0.000 0.000
Cu 0.000 1.934 2.870
Te 1.837 0.000 2.870
Te 1.837 1.934 0.000



10.
33
Lattice="7.999 0.000 0.000 0.000 4.000 9.860 0.000 -4.000 9.860" Properties=species:S:1:pos:R:3 comment="Bi10Te2I4O17, relaxed, DFT PBE" e_form_raw_mev_per_atom=-1098 sg="Amm2, No. 38" final_energy_ev_per_atom=-5.206 pbc="T T T"
Bi 0.000 0.000 0.000
Bi 0.000 0.000 4.575
Bi 0.000 0.000 14.309
Bi 2.039 -2.040 7.033
Bi 2.039 2.040 7.033
Bi 3.999 0.000 4.450
Bi 3.999 0.000 9.860
Bi 3.999 0.000 14.499
Bi 5.959 -2.040 7.033
Bi 5.959 2.040 7.033
Te 0.000 0.000 9.517
Te 3.999 0.000 18.999
I 2.010 -2.003 12.140
I 2.010 2.003 12.140
I 5.988 -2.003 12.140
I 5.988 2.003 12.140
O 0.000 -2.005 5.665
O 0.000 -1.872 8.713
O 0.000 2.005 5.665
O 0.000 1.872 8.713
O 1.872 0.000 8.713
O 1.889 0.000 18.567
O 1.916 0.000 15.454
O 2.004 0.000 5.666
O 3.999 -1.917 5.595
O 3.999 -1.889 8.708
O 3.999 1.917 5.595
O 3.999 1.889 8.708
O 3.999 0.000 17.098
O 5.995 0.000 5.666
O 6.083 0.000 15.454
O 6.110 0.000 18.567
O 6.127 0.000 8.713



11.
7
Lattice="-3.722 3.722 3.722 3.722 -3.722 3.722 3.722 3.722 -3.722" Properties=species:S:1:pos:R:3 comment="EuAg6, relaxed, DFT PBE" dos_at_fermi_per_ev_cell=2.7 sg="Im-3m, No. 229" formation_energy_ev_per_atom=0.38 final_energy_ev_per_atom=-3.536 pbc="T T T"
Eu 0.000 0.000 0.000
Ag 3.722 1.861 0.000
Ag 3.722 0.000 1.861
Ag 1.861 3.722 0.000
Ag 1.861 0.000 3.722
Ag 0.000 3.722 1.861
Ag 0.000 1.861 3.722



12.
4
Lattice="-2.133 2.133 4.952 2.133 -2.133 4.952 2.133 2.133 -4.952" Properties=species:S:1:pos:R:3 comment="SiHgCl2, relaxed, DFT PBE" e_form_raw_mev_per_atom=188 dos_at_fermi_per_ev_cell=0.5 sg="I-4m2, No. 119" final_energy_ev_per_atom=-2.166 pbc="T T T"
Si 0.000 0.000 0.000
Hg 0.000 2.133 2.476
Cl 2.133 0.000 2.476
Cl 0.000 0.000 4.952